The following is a DFT calculation (GGA+U) of Li4Ti3Fe5O16 after structural relaxation.

The structure in POSCAR format:
```
Li4Ti3Fe5O16
1.0
5.915 0.000 0.000
-2.957 5.142 0.000
-0.008 -0.090 9.628
Li Ti Fe O
4 3 5 16
Direct
0.000 0.000 0.000 Li
0.015 0.001 0.502 Li
0.345 0.654 0.899 Li
0.666 0.324 0.404 Li
0.150 0.341 0.229 Ti
0.204 0.860 0.212 Ti
0.356 0.164 0.724 Ti
0.343 0.667 0.498 Fe
0.668 0.806 0.221 Fe
0.686 0.334 0.994 Fe
0.842 0.659 0.719 Fe
0.844 0.168 0.718 Fe
0.011 0.007 0.814 O
0.017 0.998 0.316 O
0.036 0.511 0.345 O
0.173 0.326 0.610 O
0.182 0.842 0.607 O
0.328 0.649 0.111 O
0.341 0.158 0.103 O
0.476 0.504 0.349 O
0.480 0.955 0.343 O
0.527 0.469 0.845 O
0.531 0.030 0.841 O
0.673 0.322 0.610 O
0.690 0.850 0.606 O
0.846 0.161 0.109 O
0.860 0.672 0.103 O
0.973 0.462 0.839 O
```

Final energy: -196.11 eV/cell
V: 292.85 Å³/cell